The following is a PBE calculation of PmSm2HoAs4 after structural relaxation, from Alexandria.

a = 7.2601 Å, b = 4.1953 Å, c = 7.2610 Å
α = 90.00°, β = 109.46°, γ = 90.00°
Positions (direct):
Pm: 0.0000 0.0000 0.0000
Sm: 0.0000 0.5000 0.5000
Sm: 0.5000 0.0000 0.5000
Ho: 0.5000 0.5000 0.0000
As: 0.2534 0.5000 0.2486
As: 0.2551 0.0000 0.7542
As: 0.7449 0.0000 0.2458
As: 0.7466 0.5000 0.7514

Summary:
As for the formation energy: -1.523 eV per atom. The value obtained for the spin magnetization is 0.00 μB per formula unit. The mass density comes out at 7249 kg/m3. The calculation puts the energy at -6.1939 eV/atom.



The following is a PBE calculation of Pm2SmHo3As6 after structural relaxation, from Alexandria.

a = 9.3108 Å, b = 9.3108 Å, c = 8.3275 Å
α = 102.86°, β = 102.86°, γ = 25.87°
Positions (direct):
Pm: 0.1665 0.1665 0.3330
Pm: 0.8335 0.8335 0.6670
Sm: 0.5000 0.5000 0.0000
Ho: 0.1667 0.1667 0.8333
Ho: 0.5000 0.5000 0.5000
Ho: 0.8333 0.8333 0.1667
As: 0.0019 0.0019 0.7463
As: 0.3318 0.3318 0.9218
As: 0.3352 0.3352 0.4120
As: 0.6648 0.6648 0.5880
As: 0.6682 0.6682 0.0782
As: 0.9981 0.9981 0.2537

Summary:
As for the formation energy: -1.524 eV per atom. The value obtained for the spin magnetization is 0.00 μB per formula unit. The mass density comes out at 7498 kg/m3. The calculation puts the energy at -6.1780 eV/atom.



The following is a PBE calculation of PmSm2Ho3As6 after structural relaxation, from Alexandria.

a = 9.3025 Å, b = 9.3025 Å, c = 8.3190 Å
α = 102.87°, β = 102.87°, γ = 25.86°
Positions (direct):
Pm: 0.0000 0.0000 0.0000
Sm: 0.3332 0.3332 0.6666
Sm: 0.6668 0.6668 0.3334
Ho: 0.0000 0.0000 0.5000
Ho: 0.3334 0.3334 0.1670
Ho: 0.6666 0.6666 0.8330
As: 0.1651 0.1651 0.5871
As: 0.1686 0.1686 0.0794
As: 0.4985 0.4985 0.2550
As: 0.5015 0.5015 0.7450
As: 0.8314 0.8314 0.9206
As: 0.8349 0.8349 0.4129

Summary:
As for the formation energy: -1.524 eV per atom. The value obtained for the spin magnetization is 0.00 μB per formula unit. The mass density comes out at 7550 kg/m3. The calculation puts the energy at -6.1761 eV/atom.



The following is a PBE calculation of SrPm2HoAs4 after structural relaxation, from Alexandria.

a = 7.3642 Å, b = 4.2474 Å, c = 7.4051 Å
α = 90.00°, β = 109.35°, γ = 90.00°
Positions (direct):
Sr: 0.0000 0.0000 0.0000
Pm: 0.5000 0.0000 0.5000
Pm: 0.5000 0.5000 0.0000
Ho: 0.0000 0.5000 0.5000
As: 0.2486 0.0000 0.7399
As: 0.2574 0.5000 0.2637
As: 0.7426 0.5000 0.7363
As: 0.7514 0.0000 0.2601

Summary:
As for the formation energy: -1.334 eV per atom. The value obtained for the spin magnetization is 0.00 μB per formula unit. The mass density comes out at 6400 kg/m3. The calculation puts the energy at -5.6286 eV/atom.



The following is a PBE calculation of Tb2Pm3HoAs6 after structural relaxation, from Alexandria.

a = 9.3496 Å, b = 9.3496 Å, c = 8.3615 Å
α = 102.88°, β = 102.88°, γ = 25.86°
Positions (direct):
Tb: 0.1665 0.1665 0.3329
Tb: 0.8335 0.8335 0.6671
Pm: 0.1668 0.1668 0.8334
Pm: 0.5000 0.5000 0.5000
Pm: 0.8332 0.8332 0.1666
Ho: 0.5000 0.5000 0.0000
As: 0.0012 0.0012 0.2449
As: 0.3320 0.3320 0.4202
As: 0.3353 0.3353 0.9138
As: 0.6647 0.6647 0.0862
As: 0.6680 0.6680 0.5798
As: 0.9988 0.9988 0.7551

Summary:
As for the formation energy: -1.529 eV per atom. The value obtained for the spin magnetization is 0.00 μB per formula unit. The mass density comes out at 7315 kg/m3. The calculation puts the energy at -6.1943 eV/atom.



The following is a PBE calculation of Tb2PmHoAs4 after structural relaxation, from Alexandria.

a = 7.1944 Å, b = 4.1568 Å, c = 7.1954 Å
α = 90.00°, β = 109.47°, γ = 90.00°
Positions (direct):
Tb: 0.0000 0.0000 0.0000
Tb: 0.5000 0.5000 0.0000
Pm: 0.0000 0.5000 0.5000
Ho: 0.5000 0.0000 0.5000
As: 0.2536 0.5000 0.2495
As: 0.2550 0.0000 0.7532
As: 0.7450 0.0000 0.2468
As: 0.7464 0.5000 0.7505

Summary:
As for the formation energy: -1.530 eV per atom. The value obtained for the spin magnetization is 0.00 μB per formula unit. The mass density comes out at 7591 kg/m3. The calculation puts the energy at -6.1785 eV/atom.



The following is a PBE calculation of Tb2PmHo3As6 after structural relaxation, from Alexandria.

a = 9.2466 Å, b = 9.2466 Å, c = 8.2700 Å
α = 102.89°, β = 102.89°, γ = 25.86°
Positions (direct):
Tb: 0.1672 0.1672 0.3338
Tb: 0.8328 0.8328 0.6662
Pm: 0.5000 0.5000 0.0000
Ho: 0.1664 0.1664 0.8326
Ho: 0.5000 0.5000 0.5000
Ho: 0.8336 0.8336 0.1674
As: 0.9998 0.9998 0.2558
As: 0.0002 0.0002 0.7442
As: 0.3312 0.3312 0.9173
As: 0.3339 0.3339 0.4156
As: 0.6661 0.6661 0.5844
As: 0.6688 0.6688 0.0827

Summary:
As for the formation energy: -1.529 eV per atom. The value obtained for the spin magnetization is 0.00 μB per formula unit. The mass density comes out at 7784 kg/m3. The calculation puts the energy at -6.1662 eV/atom.



The following is a PBE calculation of PmHo3Th2As6 after structural relaxation, from Alexandria.

a = 9.3269 Å, b = 9.3269 Å, c = 8.3322 Å
α = 102.65°, β = 102.65°, γ = 25.93°
Positions (direct):
Pm: 0.0000 0.0000 0.0000
Ho: 0.0000 0.0000 0.5000
Ho: 0.3344 0.3344 0.1663
Ho: 0.6656 0.6656 0.8337
Th: 0.3347 0.3347 0.6693
Th: 0.6653 0.6653 0.3307
As: 0.1651 0.1651 0.5879
As: 0.1688 0.1688 0.0784
As: 0.4982 0.4982 0.2554
As: 0.5018 0.5018 0.7446
As: 0.8312 0.8312 0.9216
As: 0.8349 0.8349 0.4121

Summary:
As for the formation energy: -1.493 eV per atom. The value obtained for the spin magnetization is 0.00 μB per formula unit. The mass density comes out at 8351 kg/m3. The calculation puts the energy at -6.5950 eV/atom.